Entry from the Alexandria database: a relaxed structure of SnMoSCl2 (GGA-PBEsol).

It has space group P4/mmm (No. 123), with a = 5.123 Å, b = 5.123 Å, c = 5.063 Å, α = 90.00°, β = 90.00° and γ = 90.00°. Symmetry generates all atoms from Sn at (0.000, 0.000, 0.000), Mo at (0.500, 0.500, 0.500), S at (0.000, 0.000, 0.500) and Cl at (0.000, 0.500, 0.000).

The value obtained for the total magnetic moment is 4.82 μB per formula unit. The value obtained for the uncorrected formation energy is 578 meV/atom. The electronic total energy is -21.539 eV per cell.